# SrCo2Ni, optimized geometry, DFT GGA-PBEsol
# Energy of formation (kJ/mol of atoms): 14
data_SrCo2Ni
_chemical_formula_sum 'Sr3 Co6 Ni3'
_space_group_name_H-M_alt 'R 3 m'
_space_group_IT_number 160
_space_group_name_Hall 'R 3 -2"'
_cell_length_a 3.9818
_cell_length_b 3.9818
_cell_length_c 15.5481
_cell_angle_alpha 90.00
_cell_angle_beta 90.00
_cell_angle_gamma 120.00
loop_
_atom_site_label
_atom_site_type_symbol
_atom_site_fract_x
_atom_site_fract_y
_atom_site_fract_z
Sr1 Sr 0.0000 0.0000 0.0000
Co1 Co 0.0000 0.0000 0.4966
Co2 Co 0.0000 0.0000 0.8138
Ni1 Ni 0.0000 0.0000 0.1871


# Sr2CoNi, optimized geometry, DFT GGA-PBEsol
# Energy of formation (kJ/mol of atoms): 64
# Energy above the most stable polymorph in this dataset (meV/atom): 131
data_Sr2CoNi
_chemical_formula_sum 'Sr4 Co2 Ni2'
_space_group_name_H-M_alt 'I -4 m 2'
_space_group_IT_number 119
_space_group_name_Hall 'I -4 -2'
_cell_length_a 4.189
_cell_length_b 4.189
_cell_length_c 10.143
_cell_angle_alpha 90.00
_cell_angle_beta 90.00
_cell_angle_gamma 90.00
loop_
_atom_site_label
_atom_site_type_symbol
_atom_site_fract_x
_atom_site_fract_y
_atom_site_fract_z
Sr1 Sr 0.000 0.000 0.000
Sr2 Sr 0.000 0.500 0.250
Co1 Co 0.000 0.000 0.500
Ni1 Ni 0.000 0.500 0.750


# Sr2CoNi, optimized geometry, DFT GGA-PBEsol
# Energy of formation (kJ/mol of atoms): 52
# Energy above the most stable polymorph in this dataset (meV/atom): 0
data_Sr2CoNi
_chemical_formula_sum 'Sr8 Co4 Ni4'
_space_group_name_H-M_alt 'F m -3 m'
_space_group_IT_number 225
_space_group_name_Hall '-F 4 2 3'
_cell_length_a 7.126
_cell_length_b 7.126
_cell_length_c 7.126
_cell_angle_alpha 90.00
_cell_angle_beta 90.00
_cell_angle_gamma 90.00
loop_
_atom_site_label
_atom_site_type_symbol
_atom_site_fract_x
_atom_site_fract_y
_atom_site_fract_z
Sr1 Sr 0.250 0.250 0.250
Co1 Co 0.000 0.000 0.000
Ni1 Ni 0.000 0.000 0.500


# SrCoNi, optimized geometry, DFT GGA-PBEsol
# Energy of formation (kJ/mol of atoms): 146
# Energy above the most stable polymorph in this dataset (meV/atom): 691
data_SrCoNi
_chemical_formula_sum 'Sr4 Co4 Ni4'
_space_group_name_H-M_alt 'F -4 3 m'
_space_group_IT_number 216
_space_group_name_Hall 'F -4 2 3'
_cell_length_a 6.277
_cell_length_b 6.277
_cell_length_c 6.277
_cell_angle_alpha 90.00
_cell_angle_beta 90.00
_cell_angle_gamma 90.00
loop_
_atom_site_label
_atom_site_type_symbol
_atom_site_fract_x
_atom_site_fract_y
_atom_site_fract_z
Sr1 Sr 0.000 0.000 0.000
Co1 Co 0.250 0.250 0.750
Ni1 Ni 0.250 0.250 0.250


# SrCo2Ni, optimized geometry, DFT GGA-PBEsol
# Energy of formation (kJ/mol of atoms): 75
data_SrCo2Ni
_chemical_formula_sum 'Sr1 Co2 Ni1'
_space_group_name_H-M_alt 'P m m m'
_space_group_IT_number 47
_cell_length_a 3.746
_cell_length_b 3.770
_cell_length_c 4.283
_cell_angle_alpha 90.00
_cell_angle_beta 90.00
_cell_angle_gamma 90.00
loop_
_space_group_symop_operation_xyz
'x,y,z'
'-x,-y,-z'
'-x,-y,z'
'x,y,-z'
'x,-y,-z'
'-x,y,z'
'-x,y,-z'
'x,-y,z'
loop_
_atom_site_label
_atom_site_type_symbol
_atom_site_fract_x
_atom_site_fract_y
_atom_site_fract_z
Sr1 Sr 0.000 0.000 0.000
Co1 Co 0.000 0.500 0.500
Co2 Co 0.500 0.000 0.500
Ni1 Ni 0.500 0.500 0.000


# TaCoNi6, optimized geometry, DFT GGA-PBEsol
# Energy of formation (kJ/mol of atoms): -14
data_TaCoNi6
_chemical_formula_sum 'Ta8 Co8 Ni48'
_space_group_name_H-M_alt 'C m m m'
_space_group_IT_number 65
_space_group_name_Hall '-C 2 2'
_cell_length_a 7.072
_cell_length_b 10.058
_cell_length_c 10.054
_cell_angle_alpha 90.00
_cell_angle_beta 90.00
_cell_angle_gamma 90.00
loop_
_atom_site_label
_atom_site_type_symbol
_atom_site_fract_x
_atom_site_fract_y
_atom_site_fract_z
Ta1 Ta 0.000 0.000 0.245
Ta2 Ta 0.000 0.245 0.500
Co1 Co 0.000 0.243 0.000
Co2 Co 0.000 0.500 0.242
Ni1 Ni 0.000 0.000 0.000
Ni2 Ni 0.000 0.000 0.500
Ni3 Ni 0.000 0.252 0.245
Ni4 Ni 0.000 0.500 0.000
Ni5 Ni 0.000 0.500 0.500
Ni6 Ni 0.245 0.374 0.122
Ni7 Ni 0.245 0.376 0.372


# Ta4CoNi, optimized geometry, DFT GGA-PBEsol
# Energy of formation (kJ/mol of atoms): -25
data_Ta4CoNi
_chemical_formula_sum 'Ta8 Co2 Ni2'
_space_group_name_H-M_alt 'I 4 2 2'
_space_group_IT_number 97
_space_group_name_Hall 'I 4 2'
_cell_length_a 6.109
_cell_length_b 6.109
_cell_length_c 4.864
_cell_angle_alpha 90.00
_cell_angle_beta 90.00
_cell_angle_gamma 90.00
loop_
_atom_site_label
_atom_site_type_symbol
_atom_site_fract_x
_atom_site_fract_y
_atom_site_fract_z
Ta1 Ta 0.160 0.340 0.250
Co1 Co 0.000 0.000 0.500
Ni1 Ni 0.000 0.000 0.000


# Tb2Co3Ni, optimized geometry, DFT GGA-PBEsol
# Energy of formation (kJ/mol of atoms): -25
data_Tb2Co3Ni
_chemical_formula_sum 'Tb6 Co9 Ni3'
_space_group_name_H-M_alt 'R -3 m'
_space_group_IT_number 166
_space_group_name_Hall '-R 3 2"'
_cell_length_a 4.9118
_cell_length_b 4.9118
_cell_length_c 12.5512
_cell_angle_alpha 90.00
_cell_angle_beta 90.00
_cell_angle_gamma 120.00
loop_
_atom_site_label
_atom_site_type_symbol
_atom_site_fract_x
_atom_site_fract_y
_atom_site_fract_z
Tb1 Tb 0.0000 0.0000 0.1224
Co1 Co 0.0000 0.5000 0.0000
Ni1 Ni 0.0000 0.0000 0.5000